Record 1
6
Lattice="4.279 0.000 -0.515 0.000 5.598 0.000 0.192 0.000 11.214" Properties=species:S:1:pos:R:3 comment="LaCl5 (PBE, optimized geometry)" polymorph_energy_kj_per_mol_atoms=0.0 m_tot_mub_per_atom=0.000 rho_g_cm3=1.95 formation_energy_uncorrected_kj_per_mol_atoms=-149.1 pbc="T T T"
La 0.294 2.799 6.826
Cl 2.596 5.598 -0.037
Cl 0.291 0.000 6.824
Cl 2.449 0.000 1.951
Cl 2.649 2.799 8.354
Cl 2.218 2.799 4.784



Record 2
10
Lattice="4.393 0.000 0.001 0.000 7.977 0.244 -0.002 0.319 11.694" Properties=species:S:1:pos:R:3 comment="Ba3CdRh (PBE, optimized geometry)" formation_enthalpy_0k_ev_per_atom=-0.217 polymorph_energy_kj_per_mol_atoms=0.0 m_tot_mub_per_atom=0.000 rho_g_cm3=5.09 pbc="T T T"
Ba 1.097 6.361 6.477
Ba 1.097 1.493 9.112
Ba 1.096 5.963 10.666
Ba 3.294 1.936 5.462
Ba 3.294 2.333 1.273
Ba 3.294 6.804 2.827
Cd 3.293 4.352 8.460
Cd 1.098 3.945 3.479
Rh 1.098 1.127 3.397
Rh 3.293 7.170 8.542



Record 3
12
Lattice="-1.636 4.600 -0.497 -5.231 -1.237 5.724 8.469 0.660 2.494" Properties=species:S:1:pos:R:3 comment="Mg6Tl5Ga (PBE, optimized geometry)" formation_enthalpy_0k_ev_per_atom=-0.036 m_tot_mub_per_atom=0.000 rho_g_cm3=7.07 pbc="T T T"
Mg 1.236 3.570 4.733
Mg 3.985 4.219 1.726
Mg -4.888 1.338 4.205
Mg -1.979 2.025 1.022
Mg -2.383 -0.196 5.996
Mg 0.366 0.453 2.988
Tl 0.934 3.115 1.529
Tl 3.408 1.585 3.457
Tl -2.616 -0.619 2.862
Tl -1.806 2.438 4.264
Tl 0.667 0.908 6.192
Ga 0.000 0.000 0.000



Record 4
8
Lattice="-3.433 -0.685 -0.043 0.996 -5.183 3.046 -0.947 4.496 3.973" Properties=species:S:1:pos:R:3 comment="NdSm2ZrN4 (PBE, optimized geometry)" m_tot_mub_per_atom=0.000 rho_g_cm3=8.03 formation_energy_uncorrected_kj_per_mol_atoms=-144.5 pbc="T T T"
Nd -1.218 -2.934 1.502
Sm -2.190 1.906 1.965
Sm 0.024 -0.344 3.509
Zr 0.000 0.000 0.000
N -1.708 -0.487 1.599
N -1.676 -0.885 5.376
N -0.488 2.207 3.732
N 0.536 -2.894 3.287



Record 5
4
Lattice="6.036 0.039 0.062 4.970 3.425 0.062 1.778 0.560 5.431" Properties=species:S:1:pos:R:3 comment="TlZnPb2 (PBE, optimized geometry)" formation_enthalpy_0k_ev_per_atom=0.114 m_tot_mub_per_atom=0.000 rho_g_cm3=10.25 pbc="T T T"
Pb 10.781 3.393 0.274
Pb 9.591 3.019 4.130
Tl 6.637 2.089 2.673
Zn 3.173 0.999 1.380



Record 6
5
Lattice="4.260 0.000 0.000 0.000 5.984 0.000 0.000 0.000 4.260" Properties=species:S:1:pos:R:3 comment="BeAlAs2Cl (PBE, optimized geometry)" m_tot_mub_per_atom=0.000 rho_g_cm3=3.38 formation_energy_uncorrected_kj_per_mol_atoms=33.2 pbc="T T T"
Be 0.000 0.000 0.000
As 0.000 0.000 2.130
As 2.130 0.000 0.000
Al 0.000 2.992 0.000
Cl 2.130 2.992 2.130



Record 7
3
Lattice="-3.984 1.200 0.685 0.322 -1.227 4.021 3.394 4.493 -1.111" Properties=species:S:1:pos:R:3 comment="CeNdSn (PBE, optimized geometry)" formation_enthalpy_0k_ev_per_atom=-0.437 polymorph_energy_kj_per_mol_atoms=12.1 m_tot_mub_per_atom=0.210 rho_g_cm3=7.68 pbc="T T T"
Nd 0.834 2.390 0.663
Sn -1.468 1.028 2.642
Ce -0.371 4.170 3.513



Record 8
6
Lattice="-3.281 -1.909 -2.122 0.818 -4.508 2.792 -5.562 4.822 4.260" Properties=species:S:1:pos:R:3 comment="La3HgPb2 (PBE, optimized geometry)" formation_enthalpy_0k_ev_per_atom=-0.563 polymorph_energy_kj_per_mol_atoms=0.0 m_tot_mub_per_atom=0.000 rho_g_cm3=9.10 pbc="T T T"
La -1.231 -3.209 0.335
La -4.653 -1.503 4.091
La -3.372 -0.092 0.839
Hg 0.000 0.000 0.000
Pb -3.491 1.740 3.832
Pb -4.533 -3.335 1.098



Record 9
5
Lattice="4.454 0.000 0.000 0.000 4.454 0.000 0.000 0.000 4.454" Properties=species:S:1:pos:R:3 comment="NbCr3Pd (PBE, optimized geometry)" formation_enthalpy_0k_ev_per_atom=1.807 polymorph_energy_kj_per_mol_atoms=3.9 m_tot_mub_per_atom=0.002 rho_g_cm3=6.68 pbc="T T T"
Cr 0.000 2.227 0.000
Cr 0.000 0.000 2.227
Cr 2.227 0.000 0.000
Nb 2.227 2.227 2.227
Pd 0.000 0.000 0.000



Record 10
4
Lattice="-1.893 1.407 1.122 -1.086 -2.027 -1.238 0.670 -4.484 6.757" Properties=species:S:1:pos:R:3 comment="BeZn2Tc (PBE, optimized geometry)" formation_enthalpy_0k_ev_per_atom=0.238 m_tot_mub_per_atom=0.000 rho_g_cm3=7.51 pbc="T T T"
Be -1.322 -1.431 1.631
Zn 0.014 -0.092 0.139
Zn 0.321 -2.149 3.239
Tc -0.987 -3.673 5.010



Record 11
2
Lattice="-2.033 -3.415 -0.268 1.259 -3.227 1.968 -2.053 -1.347 3.137" Properties=species:S:1:pos:R:3 comment="MgCr (PBE, optimized geometry)" formation_enthalpy_0k_ev_per_atom=1.093 polymorph_energy_kj_per_mol_atoms=81.8 m_tot_mub_per_atom=2.121 rho_g_cm3=2.83 pbc="T T T"
Cr 0.000 0.000 0.000
Mg -1.414 -3.995 2.419



Record 12
4
Lattice="-2.259 -2.677 2.676 2.780 -2.745 2.042 0.001 4.384 -0.465" Properties=species:S:1:pos:R:3 comment="Fe2CoCu (PBE, optimized geometry)" formation_enthalpy_0k_ev_per_atom=0.108 polymorph_energy_kj_per_mol_atoms=3.9 m_tot_mub_per_atom=1.702 rho_g_cm3=8.37 pbc="T T T"
Co 0.260 -2.711 2.359
Cu -0.999 -0.503 2.285
Fe 0.000 0.000 0.000
Fe 1.520 -0.537 1.968



Record 13
4
Lattice="-3.253 0.912 4.729 -2.602 -2.949 4.279 3.495 0.364 1.938" Properties=species:S:1:pos:R:3 comment="CdAu2Se (PBE, optimized geometry)" polymorph_energy_kj_per_mol_atoms=1.0 m_tot_mub_per_atom=0.000 rho_g_cm3=11.28 formation_energy_uncorrected_kj_per_mol_atoms=-2.4 pbc="T T T"
Au 3.430 0.343 2.024
Au -1.116 -0.816 5.387
Cd -1.770 -1.255 8.209
Se -0.590 -0.418 2.736



Record 14
12
Lattice="6.053 0.000 0.000 0.000 6.167 0.000 -3.026 -3.084 7.356" Properties=species:S:1:pos:R:3 comment="Mg3ZnIn2 (PBE, optimized geometry)" formation_enthalpy_0k_ev_per_atom=-0.017 polymorph_energy_kj_per_mol_atoms=6.7 m_tot_mub_per_atom=0.000 rho_g_cm3=4.45 pbc="T T T"
Mg 1.542 3.084 2.447
Mg 1.485 0.000 4.909
Mg -1.485 3.084 4.909
Mg 4.511 0.000 2.447
Mg 3.026 4.626 0.000
Mg 3.026 1.542 0.000
Zn 0.000 1.542 0.000
Zn 0.000 4.626 0.000
In 1.450 0.000 1.979
In 1.576 3.084 5.377
In -1.576 0.000 5.377
In 4.603 3.084 1.979



Record 15
5
Lattice="-2.520 0.661 -3.793 0.475 -4.608 -1.119 -3.823 -0.969 2.371" Properties=species:S:1:pos:R:3 comment="Co2ReOsBr (PBE, optimized geometry)" m_tot_mub_per_atom=0.660 rho_g_cm3=9.45 formation_energy_uncorrected_kj_per_mol_atoms=176.7 pbc="T T T"
Re 0.000 0.000 0.000
Os 0.237 -2.304 -0.559
Br -2.934 -2.458 -1.271
Co -1.911 -0.485 1.185
Co -1.260 0.331 -1.897



Record 16
5
Lattice="-2.844 4.344 3.691 -3.960 0.525 -3.669 -3.296 -4.619 2.896" Properties=species:S:1:pos:R:3 comment="KSr2InSi (PBE, optimized geometry)" m_tot_mub_per_atom=0.000 rho_g_cm3=2.69 formation_energy_uncorrected_kj_per_mol_atoms=81.5 pbc="T T T"
Sr -1.648 -2.309 1.448
Sr -1.422 2.172 1.846
K 0.000 0.000 0.000
Si -1.980 0.262 -1.835
In -5.050 0.125 1.459



Record 17
5
Lattice="5.384 0.000 0.000 0.000 5.384 0.000 2.692 2.692 5.218" Properties=species:S:1:pos:R:3 comment="BaP2Pb2 (PBE, optimized geometry)" formation_enthalpy_0k_ev_per_atom=-0.231 m_tot_mub_per_atom=0.000 rho_g_cm3=6.74 pbc="T T T"
Pb 2.692 2.692 1.655
Pb 5.384 5.384 3.563
P 5.384 2.692 2.609
P 2.692 5.384 2.609
Ba 0.000 0.000 0.000



Record 18
12
Lattice="11.512 -1.658 0.000 3.034 4.302 0.000 1.517 2.151 7.922" Properties=species:S:1:pos:R:3 comment="La6PmNd5 (PBE, optimized geometry)" formation_enthalpy_0k_ev_per_atom=0.013 polymorph_energy_kj_per_mol_atoms=0.4 m_tot_mub_per_atom=0.000 rho_g_cm3=6.53 pbc="T T T"
La 9.394 -0.169 2.638
La 5.151 2.814 2.638
La 3.632 0.664 0.000
La 10.914 1.980 0.000
La 10.911 1.982 5.284
La 6.668 4.965 5.284
Pm 0.000 0.000 0.000
Nd 7.273 1.322 5.280
Nd 1.517 2.151 2.638
Nd 7.273 1.322 0.000
Nd 3.034 4.302 5.284
Nd 8.790 3.473 2.642



Record 19
4
Lattice="-2.901 4.544 -2.899 -6.068 0.695 -0.408 4.499 -1.115 3.998" Properties=species:S:1:pos:R:3 comment="Cd2NiBr (PBE, optimized geometry)" polymorph_energy_kj_per_mol_atoms=34.4 m_tot_mub_per_atom=0.128 rho_g_cm3=7.13 formation_energy_uncorrected_kj_per_mol_atoms=32.1 pbc="T T T"
Br -1.443 3.025 -0.277
Cd 0.000 0.000 0.000
Cd -4.484 2.620 -1.654
Ni -3.027 1.100 0.968



Record 20
5
Lattice="-3.257 -0.854 3.563 3.649 -0.068 3.319 -0.525 4.827 0.676" Properties=species:S:1:pos:R:3 comment="GaIr2PbW (PBE, optimized geometry)" formation_enthalpy_0k_ev_per_atom=0.986 m_tot_mub_per_atom=0.000 rho_g_cm3=11.84 pbc="T T T"
Pb -0.067 1.953 3.779
Ir -0.263 2.414 0.338
Ir -1.629 -0.427 1.782
Ga 1.824 -0.034 1.660
W 0.000 0.000 0.000